# 1
SrYOs2O8: optimized geometry, PBE-GGA.

Computed properties:
V = 219 Å³/cell
raw formation energy = -1.65 eV/atom
VASP energy = -90.017 eV/cell

abc: 5.9306 5.9306 7.1896
angles: 90.00 90.00 120.00
Closest atoms and distances in Å follow each position.
Fractional coordinates of all 12 atoms:
1 O 0.8371 0.6754 0.2886  1 Os 1.84
2 Os 0.6667 0.3333 0.2104  4 O 1.79-1.84
3 O 0.6754 0.8383 0.7114  1 Os 1.84
4 O 0.3246 0.1617 0.2886  1 Os 1.84
5 O 0.3333 0.6667 0.0393  1 Os 1.79
6 Os 0.3333 0.6667 0.7896  4 O 1.79-1.84
7 O 0.1617 0.8371 0.7114  1 Os 1.84
8 O 0.1629 0.3246 0.7114  1 Os 1.84
9 Y 0.0000 0.0000 0.5000  6 O 2.26
10 O 0.6667 0.3333 0.9607  1 Os 1.79
11 O 0.8383 0.1629 0.2886  1 Os 1.84
12 Sr 0.0000 0.0000 0.0000  6 O 2.66

***

# 2
SrZnOsO5: optimized geometry, PBE-GGA.

Computed properties:
V = 222 Å³/cell
raw formation energy = -1.62 eV/atom
VASP energy = -103.854 eV/cell

abc: 5.8538 5.8538 7.4581
angles: 104.05 104.05 107.77
Closest atoms and distances in Å follow each position.
Fractional coordinates of all 16 atoms:
1 Zn 0.3037 0.6963 0.7500  4 O 1.94-1.98
2 Sr 0.6709 0.3291 0.7500  7 O 2.56-2.74
3 O 0.8955 0.2899 0.0777  1 Zn 1.94, 1 Os 1.98
4 Zn 0.6963 0.3037 0.2500  4 O 1.94-1.98
5 O 0.2899 0.8955 0.5777  1 Zn 1.94, 1 Os 1.98
6 O 0.3446 0.2386 0.0889  1 Os 1.91, 1 Zn 1.98
7 O 0.0397 0.9603 0.2500  2 Os 1.90
8 O 0.7101 0.1045 0.4223  1 Zn 1.94, 1 Os 1.98
9 O 0.6554 0.7614 0.9111  1 Os 1.91, 1 Zn 1.98
10 O 0.1045 0.7101 0.9223  1 Zn 1.94, 1 Os 1.98
11 O 0.2386 0.3446 0.5889  1 Os 1.91, 1 Zn 1.98
12 O 0.9603 0.0397 0.7500  2 Os 1.90
13 Os 0.0000 0.0000 0.0000  6 O 1.90-1.98
14 O 0.7614 0.6554 0.4111  1 Os 1.91, 1 Zn 1.98
15 Os 0.0000 0.0000 0.5000  6 O 1.90-1.98
16 Sr 0.3291 0.6709 0.2500  7 O 2.56-2.74

***

# 3
SrZnOsO6: optimized geometry, PBE-GGA.

Computed properties:
V = 130 Å³/cell
raw formation energy = -1.47 eV/atom
VASP energy = -57.192 eV/cell

abc: 5.2845 5.3671 5.2680
angles: 90.63 91.28 60.51
Closest atoms and distances in Å follow each position.
Fractional coordinates of all 9 atoms:
1 O 0.3678 0.6092 0.3041  1 Os 1.92, 1 Zn 2.01
2 O 0.3557 0.0355 0.7018  1 Os 1.86
3 Sr 0.0083 0.9834 0.0000  6 O 2.53-2.59
4 Os 0.3365 0.3269 0.5000  6 O 1.86-1.92
5 O 0.6087 0.0354 0.2982  1 Os 1.86
6 Zn 0.6663 0.6673 0.5001  6 O 2.01-2.16
7 O 0.0230 0.6091 0.6959  1 Os 1.92, 1 Zn 2.01
8 O 0.5980 0.3666 0.7153  1 Os 1.86
9 O 0.0353 0.3667 0.2846  1 Os 1.86

***

# 4
Sr2ZnOsO8: optimized geometry, PBE-GGA.

Computed properties:
V = 168 Å³/cell
raw formation energy = -1.50 eV/atom
VASP energy = -73.516 eV/cell

abc: 5.3360 4.5585 6.9014
angles: 92.85 89.89 89.72
Closest atoms and distances in Å follow each position.
Fractional coordinates of all 12 atoms:
1 O 0.2825 0.2041 0.9264  1 Os 1.86
2 Os 0.0000 0.0000 0.0000  6 O 1.82-1.99
3 O 0.4060 0.1097 0.5399  1 O 1.50
4 Zn 0.0000 0.0000 0.5000  2 O 1.95
5 Sr 0.4843 0.6551 0.7711  7 O 2.49-2.71
6 Sr 0.5157 0.3449 0.2289  7 O 2.49-2.71
7 O 0.0060 0.7919 0.7392  1 Zn 1.95, 1 Os 1.99
8 O 0.7175 0.7959 0.0736  1 Os 1.86
9 O 0.2034 0.7238 0.0985  1 Os 1.82
10 O 0.7966 0.2762 0.9015  1 Os 1.82
11 O 0.5940 0.8903 0.4601  1 O 1.50
12 O 0.9940 0.2081 0.2608  1 Zn 1.95, 1 Os 1.99